[1]
# ZnReHg2

A relaxed structure of ZnReHg2 (PBE, the Alexandria database).

Values from the calculation:
D(E_F)	1.4	states/eV per cell
crystal system	orthorhombic

a = 2.786 Å, b = 2.786 Å, c = 11.306 Å
α = 90.00°, β = 90.00°, γ = 113.70°
Sites, in units of the cell vectors:
Zn 0.500 0.500 0.715
Hg 0.500 0.500 0.293
Hg 0.000 0.000 0.965
Re 0.000 0.000 0.527

[2]
# ZnReHg2

A relaxed structure of ZnReHg2 (PBE, the Alexandria database).

Values from the calculation:
D(E_F)	2.9	states/eV per cell
crystal system	orthorhombic

a = 2.871 Å, b = 4.334 Å, c = 5.815 Å
α = 90.00°, β = 90.00°, γ = 90.00°
Sites, in units of the cell vectors:
Zn 0.500 0.500 0.750
Re 0.500 0.500 0.250
Hg 0.000 0.000 0.497
Hg 0.000 0.000 0.003

[3]
# Zn2ReHg

A relaxed structure of Zn2ReHg (PBE, the Alexandria database).

Values from the calculation:
D(E_F)	1.4	states/eV per cell
crystal system	monoclinic

a = 5.382 Å, b = 5.382 Å, c = 4.929 Å
α = 65.75°, β = 65.75°, γ = 30.18°
Sites, in units of the cell vectors:
Hg 0.505 0.505 0.583
Zn 0.748 0.748 0.671
Zn 0.992 0.992 0.099
Re 0.254 0.254 0.147

[4]
# Zn2ReHg

A relaxed structure of Zn2ReHg (PBE, the Alexandria database).

Values from the calculation:
D(E_F)	3.5	states/eV per cell
crystal system	tetragonal

a = 3.133 Å, b = 3.133 Å, c = 6.608 Å
α = 90.00°, β = 90.00°, γ = 90.00°
Sites, in units of the cell vectors:
Re 0.500 0.500 0.790
Zn 0.500 0.500 0.216
Zn 0.000 0.000 0.999
Hg 0.000 0.000 0.495

The records above give, respectively, E_form values of 529; 744; 382; 543 meV/atom.